[1]
First-principles (PBE-GGA) data for SmPaPd4 after structural relaxation, as listed in the Alexandria database.

The structure in POSCAR format:
```
SmPaPd4
1.0
0.000 3.865 3.865
3.865 0.000 3.865
3.865 3.865 0.000
Sm Pa Pd
1 1 4
Cartesian
0.000 0.000 0.000
1.933 1.933 1.933
4.830 2.901 2.901
2.901 4.830 2.901
2.901 2.901 4.830
4.830 4.830 4.830
```

Output
The distance to the lowest polymorph of the same formula comes out at 0.158 eV per atom. The density comes out at 11.6 g cm⁻³. The total magnetic moment is 1.24 μB per cell.

***

[2]
First-principles (PBE-GGA) data for SmPaPd after structural relaxation, as listed in the Alexandria database.

The structure in POSCAR format:
```
SmPaPd
1.0
3.484 0.000 0.000
-1.742 3.017 0.000
0.000 0.000 14.401
Sm Pa Pd
2 2 2
Cartesian
0.000 0.000 2.864
0.000 0.000 11.537
0.000 0.000 7.200
0.000 2.011 0.000
0.000 2.011 5.164
0.000 2.011 9.236
```

Output
The density comes out at 10.7 g cm⁻³. As for the total energy: -6.622 eV per atom. The total magnetic moment is 0.00 μB per cell.

***

[3]
First-principles (PBE-GGA) data for Sm3PaPd12 after structural relaxation, as listed in the Alexandria database.

The structure in POSCAR format:
```
Sm3PaPd12
1.0
4.169 0.000 0.000
0.000 4.169 0.000
0.000 0.000 16.611
Sm Pa Pd
3 1 12
Cartesian
0.000 0.000 0.000
0.000 0.000 4.089
0.000 0.000 12.522
0.000 0.000 8.305
0.000 2.084 2.093
0.000 2.084 6.330
0.000 2.084 10.280
0.000 2.084 14.517
2.084 0.000 2.093
2.084 0.000 6.330
2.084 0.000 10.280
2.084 0.000 14.517
2.084 2.084 0.000
2.084 2.084 4.209
2.084 2.084 8.305
2.084 2.084 12.401
```

Output
The density comes out at 11.3 g cm⁻³. As for the total energy: -6.217 eV per atom. The total magnetic moment is 0.00 μB per cell.

***

[4]
First-principles (PBE-GGA) data for SmPaTcPd after structural relaxation, as listed in the Alexandria database.

The structure in POSCAR format:
```
SmPaTcPd
1.0
6.989 0.000 0.000
0.000 6.989 0.000
0.000 0.000 6.989
Sm Pa Tc Pd
4 4 4 4
Cartesian
0.000 0.000 0.000
0.000 3.494 3.494
3.494 0.000 3.494
3.494 3.494 0.000
0.000 0.000 3.494
0.000 3.494 0.000
3.494 0.000 0.000
3.494 3.494 3.494
1.747 1.747 1.747
1.747 5.242 5.242
5.242 1.747 5.242
5.242 5.242 1.747
1.747 1.747 5.242
1.747 5.242 1.747
5.242 1.747 1.747
5.242 5.242 5.242
```

Output
The density comes out at 11.4 g cm⁻³. As for the total energy: -7.702 eV per atom. The total magnetic moment is 0.00 μB per cell.